Record 1
Compound: Zn4Cu2Pd3
Source: Alexandria via LeMat-Bulk
Functional: PBE
Structure: optimized geometry

It has space group P-1 (No. 2), with a = 3.9383 Å, b = 4.6202 Å, c = 7.9858 Å, α = 76.11°, β = 89.89° and γ = 64.83°. Symmetry generates all atoms from Zn at (0.0071, 0.4857, 0.3377), Zn at (0.3344, 0.8310, 0.1062), Cu at (0.3356, 0.8290, 0.7796), Pd at (0.0000, 0.5000, 0.0000) and Pd at (0.3295, 0.8397, 0.4257).

The crystal system is triclinic.

Record 2
Compound: ZnCuPd3
Source: Alexandria via LeMat-Bulk
Functional: PBE
Structure: optimized geometry

It has space group Pm-3m (No. 221), with a = 4.5845 Å, b = 4.5845 Å, c = 4.5845 Å, α = 90.00°, β = 90.00° and γ = 90.00°. Symmetry generates all atoms from Zn at (0.0000, 0.0000, 0.0000), Cu at (0.5000, 0.5000, 0.5000) and Pd at (0.0000, 0.5000, 0.5000).

The crystal system is cubic. As for the excess energy over the best structure of this formula in the dataset: 916 meV/atom.

Record 3
Compound: ZnCu5Pd6
Source: Alexandria via LeMat-Bulk
Functional: PBE
Structure: optimized geometry

It has space group P2/m (No. 10), with a = 4.2787 Å, b = 6.0522 Å, c = 6.7533 Å, α = 90.00°, β = 108.14° and γ = 90.00°. Symmetry generates all atoms from Zn at (0.0000, 0.0000, 0.0000), Cu at (0.0000, 0.5000, 0.0000), Cu at (0.3318, 0.0000, 0.6627), Cu at (0.3337, 0.5000, 0.6673), Pd at (0.1663, 0.2507, 0.3329) and Pd at (0.5000, 0.2491, 0.0000).

The crystal system is monoclinic.

Record 4
Compound: ZnCu2Pd2
Source: Alexandria via LeMat-Bulk
Functional: PBE
Structure: optimized geometry

It has space group P4/mbm (No. 127), with a = 6.9236 Å, b = 6.9236 Å, c = 3.0372 Å, α = 90.00°, β = 90.00° and γ = 90.00°. Symmetry generates all atoms from Zn at (0.0000, 0.0000, 0.0000), Cu at (0.1271, 0.3729, 0.0000) and Pd at (0.1704, 0.6704, 0.5000).

The crystal system is tetragonal. As for the excess energy over the best structure of this formula in the dataset: 88 meV/atom.

Number 1: formation enthalpy at 0 K -7.74 kcal/mol of atoms. Number 2: formation enthalpy at 0 K 13.93 kcal/mol of atoms. Number 3: formation enthalpy at 0 K -5.11 kcal/mol of atoms. Number 4: formation enthalpy at 0 K -1.74 kcal/mol of atoms.